[1]
AlGa2PbS6 after structural relaxation. Source: Alexandria, functional GGA-PBE.

```
20
Lattice="7.3359 0.2587 0.2684 2.6620 8.5140 -0.1181 2.6620 -0.4335 8.5038" Properties=species:S:1:pos:R:3 pbc="T T T"
S 4.8632 3.7066 2.8043
S 9.7046 6.7496 8.1157
S 7.7966 4.6326 5.8499
S 4.1287 5.5448 4.7120
S 8.5312 2.7944 3.9422
S 6.5924 7.4087 3.1947
S 6.0674 0.9305 5.4595
S 2.9552 1.5896 0.5385
S 6.0367 7.7307 6.9115
S 10.2604 3.0472 7.6562
S 2.3995 5.2920 0.9980
S 6.6232 0.6085 1.7427
Ga 10.0231 5.0415 6.5953
Ga 6.3047 2.0646 3.5060
Ga 2.6367 3.2977 2.0589
Ga 6.3552 6.2746 5.1482
Pb 8.1639 0.9590 7.5503
Pb 4.4959 7.3802 1.1039
Al 8.1639 7.0961 1.6366
Al 4.4959 1.2431 7.0176
```

## Properties
formation energy from raw total energies = -0.57 eV per atom
density = 3.6 Mg/m³


[2]
SmTh2ZrAs4 after structural relaxation. Source: Alexandria, functional GGA-PBE.

```
8
Lattice="-3.3178 0.8727 2.3423 -3.8929 -4.7747 -3.7352 3.0726 -3.2622 5.5677" Properties=species:S:1:pos:R:3 pbc="T T T"
As -1.8608 -1.4570 1.5905
As -2.2772 -5.7071 2.5843
As -2.2021 -4.3891 -1.4838
As 1.3818 -3.6477 3.3164
Th -0.4101 -4.0184 0.9163
Th -0.1226 -1.1947 3.9550
Sm -3.6053 -1.9510 -0.6965
Zr 0.0000 0.0000 0.0000
```

## Properties
formation energy = -10.67 eV/f.u.
density = 8.3 Mg/m³


[3]
CsK2NbTe4 after structural relaxation. Source: Alexandria, functional GGA-PBE.

```
8
Lattice="-6.4829 -5.2840 3.1839 -1.6479 -7.2667 -2.8384 0.8771 -4.9021 6.2272" Properties=species:S:1:pos:R:3 pbc="T T T"
Te -0.6363 -4.3421 -0.2672
Te -7.3842 -13.8288 4.0868
Te -2.1078 -5.4483 3.5852
Te -4.3791 -11.2864 5.7407
Cs 0.0000 0.0000 0.0000
K -4.2571 -9.3166 1.0236
K -2.9966 -8.1362 5.5491
Nb -0.3854 -6.0844 1.6944
```

## Properties
formation energy from raw total energies = -0.77 eV per atom
density = 3.5 Mg/m³


[4]
Sr2ScTaSb after structural relaxation. Source: Alexandria, functional GGA-PBE.

```
5
Lattice="-0.6459 5.8111 -1.1123 -5.0172 -0.8581 -1.5696 -1.8916 0.8574 5.5777" Properties=species:S:1:pos:R:3 pbc="T T T"
Sc -3.7774 2.9052 1.4478
Sr -0.3230 2.9056 -0.5562
Sr -0.9458 0.4287 2.7888
Sb -2.5086 -0.4291 -0.7848
Ta 0.0000 0.0000 0.0000
```

## Properties
formation energy from raw total energies = 0.83 eV per atom
density = 4.6 Mg/m³


[5]
PmFeGe2Rh after structural relaxation. Source: Alexandria, functional GGA-PBE.

```
5
Lattice="-1.2092 0.8450 3.8728 3.1800 -2.2104 1.4752 1.9238 4.8653 -2.6782" Properties=species:S:1:pos:R:3 pbc="T T T"
Pm 0.0000 0.0000 0.0000
Fe 0.8500 2.5138 1.9343
Rh 3.0447 0.9861 0.7355
Ge 2.1583 3.1029 -0.0032
Ge 1.7364 0.3970 2.6729
```

## Properties
formation energy = -3.36 eV/f.u.
density = 8.5 Mg/m³


[6]
BeCd2Br after structural relaxation. Source: Alexandria, functional GGA-PBE.

```
4
Lattice="-2.9269 1.7327 3.8481 -3.5415 -3.0617 2.1122 0.6785 -1.8098 4.7583" Properties=species:S:1:pos:R:3 pbc="T T T"
Cd 0.0000 0.0000 0.0000
Cd -1.4475 -0.7847 2.6796
Be -2.8949 -1.5694 5.3593
Br -4.3424 -2.3541 8.0389
```

## Properties
ΔE to the lowest computed polymorph = 52.7 kJ/mol of atoms
formation energy from raw total energies = 0.62 eV per atom
density = 5.4 Mg/m³


[7]
LaTeH after structural relaxation. Source: Alexandria, functional GGA-PBE.

```
3
Lattice="-0.1841 3.7785 0.4192 -1.9886 -0.4534 3.2136 5.4197 -1.7476 0.8531" Properties=species:S:1:pos:R:3 pbc="T T T"
H 2.4889 -0.0489 1.5332
La 0.6252 1.6290 2.8708
Te 0.1330 -0.0026 0.0819
```

## Properties
density = 6.0 Mg/m³
E = -4.518 eV/atom


[8]
Ge2BPb2 after structural relaxation. Source: Alexandria, functional GGA-PBE.

```
10
Lattice="6.1878 0.0000 0.0000 0.0000 6.1878 0.0000 0.0000 0.0000 5.7433" Properties=species:S:1:pos:R:3 pbc="T T T"
B 0.0000 0.0000 0.0000
B 3.0939 3.0939 0.0000
Pb 1.2232 4.3171 2.8717
Pb 4.9646 1.8707 2.8717
Pb 4.3171 4.9646 2.8717
Pb 1.8707 1.2232 2.8717
Ge 2.1180 5.2119 0.0000
Ge 5.2119 4.0698 0.0000
Ge 4.0698 0.9759 0.0000
Ge 0.9759 2.1180 0.0000
```

## Properties
ΔE to the lowest computed polymorph = 0.0 kJ/mol of atoms
formation energy = 2.98 eV/f.u.
density = 8.6 Mg/m³


[9]
Li2Cu4Pt after structural relaxation. Source: Alexandria, functional GGA-PBE.

```
7
Lattice="-6.1584 -1.1311 -0.3608 -2.7319 -1.7491 -4.0283 -3.8308 -5.0054 -1.1652" Properties=species:S:1:pos:R:3 pbc="T T T"
Pt 0.0000 0.0000 0.0000
Cu -3.0792 -0.5656 -0.1804
Cu -2.7577 -2.7527 -1.4961
Cu -1.3660 -0.8746 -2.0141
Cu -9.9634 -5.1329 -4.0581
Li -5.3416 -3.0837 -1.9484
Li -7.3796 -4.8019 -3.6058
```

## Properties
formation energy = -0.57 eV/f.u.
density = 8.1 Mg/m³


[10]
SbTeBr2 after structural relaxation. Source: Alexandria, functional GGA-PBE.

```
4
Lattice="4.4566 0.0000 0.0000 0.0000 4.4566 0.0000 0.0000 0.0000 7.9351" Properties=species:S:1:pos:R:3 pbc="T T T"
Sb 0.0000 0.0000 4.8068
Br 2.2283 2.2283 2.5347
Br 0.0000 0.0000 7.3759
Te 2.2283 2.2283 5.1204
```

## Properties
ΔE to the lowest computed polymorph = 10.4 kJ/mol of atoms
formation energy from raw total energies = -0.19 eV per atom
density = 4.3 Mg/m³


[11]
MgScCr after structural relaxation. Source: Alexandria, functional GGA-PBE.

```
3
Lattice="-1.3254 -6.9643 -0.5583 -0.7264 -6.2418 3.3289 -0.9280 6.9560 -1.1498" Properties=species:S:1:pos:R:3 pbc="T T T"
Cr -0.0045 -0.0288 0.0060
Mg -0.7130 -4.5888 0.9627
Sc -1.3344 -8.5884 1.8019
```

## Properties
ΔE to the lowest computed polymorph = 17.3 kJ/mol of atoms
formation energy = 1.27 eV/f.u.
density = 3.7 Mg/m³


[12]
Cr2AsAu after structural relaxation. Source: Alexandria, functional GGA-PBE.

```
8
Lattice="7.0157 0.0000 0.0000 0.0000 7.0157 0.0000 3.5079 3.5079 2.8851" Properties=species:S:1:pos:R:3 pbc="T T T"
Au 7.0157 3.5079 1.4425
Au 0.0000 0.0000 0.0000
As 3.5079 3.5079 0.0000
As 3.5079 7.0157 1.4425
Cr 5.0582 1.7539 0.7213
Cr 8.7697 8.5661 2.1638
Cr 1.9575 5.2618 0.7213
Cr 5.2618 5.4654 2.1638
```

## Properties
formation energy = 1.55 eV/f.u.
density = 8.8 Mg/m³


[13]
MnGePbW2 after structural relaxation. Source: Alexandria, functional GGA-PBE.

```
5
Lattice="-4.4208 0.0500 1.6918 -0.4316 -4.3720 -0.9986 1.6307 -1.1420 4.2947" Properties=species:S:1:pos:R:3 pbc="T T T"
Mn -0.2158 -2.1860 -0.4993
W -2.2104 0.0250 0.8459
W 0.8153 -0.5710 2.1474
Ge 0.0000 0.0000 0.0000
Pb -1.6108 -2.7320 2.4940
```

## Properties
formation energy = 6.83 eV/f.u.
density = 11.6 Mg/m³


[14]
Co2Ru after structural relaxation. Source: Alexandria, functional GGA-PBE.

```
3
Lattice="2.5972 0.0000 0.0000 -1.2986 2.2492 0.0000 0.0000 0.0000 6.2297" Properties=species:S:1:pos:R:3 pbc="T T T"
Co 0.0000 0.0000 6.1706
Co 0.0000 1.4995 4.2123
Ru 1.2986 0.7497 2.0766
```

## Properties
ΔE to the lowest computed polymorph = 5.3 kJ/mol of atoms
formation energy = 0.53 eV/f.u.
density = 10.0 Mg/m³


[15]
Cd2Ag2Au15 after structural relaxation. Source: Alexandria, functional GGA-PBE.

```
19
Lattice="-2.0139 -7.0282 -0.0610 -0.4576 -0.9742 7.2317 -7.2070 1.0166 0.6942" Properties=species:S:1:pos:R:3 pbc="T T T"
Au -1.4885 -4.9846 2.4007
Au -6.2326 -4.1795 1.6641
Au -0.9829 -3.0179 4.7699
Au -3.7669 -4.3126 0.1939
Au -5.4611 -1.1783 5.2793
Au -2.7359 -0.3022 5.0248
Au -2.8868 -5.1663 4.9049
Au -5.4540 -1.6991 0.4392
Au -3.6035 0.5083 0.3471
Au -4.2174 -5.8076 2.5856
Au -3.4458 -2.8064 6.2007
Au -1.0070 -3.5141 -0.0305
Au -6.7917 -1.8196 2.9599
Au -0.2288 -0.4871 3.6158
Au -4.9286 0.3445 2.9010
Cd -3.5637 -2.5723 2.8959
Cd -6.1147 -4.4136 4.9689
Ag -0.9526 -0.6876 0.7741
Ag -8.7259 -6.2983 7.0907
```

## Properties
formation energy = 0.55 eV/f.u.
density = 14.8 Mg/m³


[16]
YCr2Pb after structural relaxation. Source: Alexandria, functional GGA-PBE.

```
4
Lattice="3.7111 0.5869 0.0000 -0.5870 3.7111 0.0000 0.0000 0.0000 6.3895" Properties=species:S:1:pos:R:3 pbc="T T T"
Y 1.5620 2.1490 4.7921
Cr 0.0000 0.0000 3.1267
Cr 0.0000 0.0000 0.0681
Pb 1.5620 2.1490 1.5974
```

## Properties
formation energy = 1.95 eV/f.u.
density = 7.4 Mg/m³


[17]
Li3Ge4Ir4 after structural relaxation. Source: Alexandria, functional GGA-PBE.

```
11
Lattice="-3.7677 1.1785 -0.0438 -1.1270 -3.3707 6.2516 4.0779 6.4270 0.0642" Properties=species:S:1:pos:R:3 pbc="T T T"
Ge -0.9642 3.5960 1.7651
Ge 0.1474 0.6386 4.5070
Ge -2.1101 -0.0873 1.2329
Ge -2.7846 -2.1049 4.9749
Li 0.4100 1.3404 0.7966
Li -0.5635 -1.6854 3.1258
Li -1.2268 2.8943 5.4755
Ir -1.6499 1.4480 2.9576
Ir 1.2859 4.1410 0.8027
Ir -2.1027 0.0937 5.4694
Ir 0.8331 2.7867 3.3145
```

## Properties
formation energy = -3.19 eV/f.u.
density = 9.9 Mg/m³


[18]
YTm3Sb2 after structural relaxation. Source: Alexandria, functional GGA-PBE.

```
12
Lattice="4.2493 0.0000 0.0000 -2.1247 10.2268 -0.6215 0.0000 -5.2169 8.1229" Properties=species:S:1:pos:R:3 pbc="T T T"
Y 0.0000 1.7004 0.7121
Y 2.1247 3.3094 6.7893
Tm 2.1247 6.1497 4.0112
Tm 2.1247 1.3216 3.7014
Tm 0.0000 -1.1399 3.4902
Tm 0.0000 6.3062 1.1201
Tm 0.0000 3.6883 3.8001
Tm 2.1247 -1.2963 6.3814
Sb 2.1247 -0.7133 1.4071
Sb 0.0000 5.7232 6.0943
Sb 0.0000 1.0394 6.0295
Sb 2.1247 3.9705 1.4719
```

## Properties
formation energy from raw total energies = -0.66 eV per atom
density = 8.2 Mg/m³


[19]
W2Se after structural relaxation. Source: Alexandria, functional GGA-PBE.

```
12
Lattice="-0.7136 9.3995 4.9468 -6.0001 6.3150 6.1196 4.6478 -9.1007 -2.9844" Properties=species:S:1:pos:R:3 pbc="T T T"
W -4.0169 6.4267 7.0742
W -2.7628 6.4666 4.5539
W -0.3055 5.4687 4.7272
W -5.0514 11.8236 8.3264
W -1.6623 3.8909 2.7400
W -0.6923 -1.3551 1.5942
W -3.9510 9.2479 6.5125
W 0.8828 2.6874 2.7685
Se -2.8429 3.6786 5.1390
Se -1.8664 1.3930 3.5294
Se -6.2255 14.5716 10.2616
Se -0.4883 1.1428 0.8048
```

## Properties
ΔE to the lowest computed polymorph = 57.8 kJ/mol of atoms
formation energy from raw total energies = 0.66 eV per atom
density = 15.0 Mg/m³


[20]
CaBeFe2 after structural relaxation. Source: Alexandria, functional GGA-PBE.

```
4
Lattice="-2.8638 1.1200 -2.3123 -0.4422 -1.6455 -3.4496 -4.1621 -3.7095 0.1584" Properties=species:S:1:pos:R:3 pbc="T T T"
Fe -3.5108 -2.9576 -0.2836
Fe -4.3852 -2.8695 -2.3598
Ca -1.8670 -1.0587 -1.4009
Be -5.6010 -3.1762 -4.2026
```

## Properties
formation energy = 0.64 eV/f.u.
density = 4.1 Mg/m³


[21]
Cd6AsO8 after structural relaxation. Source: Alexandria, functional GGA-PBE.

```
15
Lattice="5.8222 0.0000 3.3614 1.9407 5.4892 3.3614 0.0000 0.0000 6.7229" Properties=species:S:1:pos:R:3 pbc="T T T"
Cd 3.8815 2.7446 3.3614
Cd 0.9704 2.7446 5.0422
Cd 0.0000 0.0000 3.3614
Cd 2.9111 0.0000 5.0422
Cd 2.9111 0.0000 1.6807
Cd 0.9704 2.7446 1.6807
O 1.9407 1.3723 3.3614
O 6.1910 4.3777 6.7229
O 1.5719 1.1115 6.7229
O 5.0362 1.1115 4.7228
O 5.8222 4.1169 10.0843
O 2.7267 4.3777 4.7228
O 5.0362 1.1115 8.7230
O 2.7267 4.3777 8.7230
As 0.0000 0.0000 0.0000
```

## Properties
formation energy from raw total energies = -1.07 eV per atom
density = 6.8 Mg/m³


[22]
Mg2TcSe after structural relaxation. Source: Alexandria, functional GGA-PBE.

```
4
Lattice="8.4588 -0.0321 -0.0190 7.8680 3.1060 -0.0190 7.8680 1.4813 2.7301" Properties=species:S:1:pos:R:3 pbc="T T T"
Tc 18.1461 3.4164 2.0191
Se 6.0487 1.1388 0.6730
Mg 12.1458 2.2867 1.3515
Mg 24.1464 4.5462 2.6868
```

## Properties
formation energy from raw total energies = 0.06 eV per atom
density = 5.1 Mg/m³


[23]
Tm3PbS after structural relaxation. Source: Alexandria, functional GGA-PBE.

```
20
Lattice="-2.6731 -5.1067 3.0260 5.5911 -5.4934 -4.3317 2.9045 3.9130 9.1693" Properties=species:S:1:pos:R:3 pbc="T T T"
Tm 4.2639 -7.1927 0.7774
Tm 1.2251 -1.8581 10.9380
Tm 4.5974 -4.8291 -3.0743
Tm 2.3046 -1.9398 4.7510
Tm 0.5668 -2.5577 1.8098
Tm 5.2558 -4.1294 6.0538
Tm 3.5179 -4.7474 3.1127
Tm 0.1971 -4.8883 4.5529
Tm 5.6254 -1.7989 3.3107
Tm 3.4192 -3.2096 -0.2497
Tm 2.4034 -3.4775 8.1133
Tm 1.5587 0.5056 7.0863
S 2.5988 -4.4078 5.5923
S -1.5608 -3.4490 3.0736
S 3.2238 -2.2793 2.2714
S 7.3834 -3.2381 4.7901
Pb 1.3473 -5.6401 1.1176
Pb 5.1911 -7.2021 3.9938
Pb 4.4753 -1.0470 6.7460
Pb 0.6315 0.5150 3.8699
```

## Properties
ΔE to the lowest computed polymorph = 11.0 kJ/mol of atoms
formation energy from raw total energies = -0.89 eV per atom
density = 9.4 Mg/m³


[24]
Si2PIr after structural relaxation. Source: Alexandria, functional GGA-PBE.

```
4
Lattice="4.1692 0.0000 0.0000 0.0000 4.3126 -0.0157 0.0000 2.3112 3.6410" Properties=species:S:1:pos:R:3 pbc="T T T"
Si 0.0000 5.9161 3.2374
Si 2.0846 2.3758 1.3005
Ir 0.0000 3.5863 1.9626
P 2.0846 4.6813 2.5628
```

## Properties
ΔE to the lowest computed polymorph = 0.0 kJ/mol of atoms
formation energy from raw total energies = -0.26 eV per atom
density = 7.1 Mg/m³